*one*
The following is a PBE calculation of crystalline MgReAu3 at its relaxed geometry, from the Alexandria database.

Cell lengths 5.051, 5.051, 5.051 Å; angles 90.00, 90.00, 90.00 degrees
Fractional coordinates of all 5 atoms:
Mg: 0.000 0.000 0.000
Re: 0.500 0.500 0.500
Au: 0.000 0.500 0.500
Au: 0.500 0.000 0.500
Au: 0.500 0.500 0.000

## Properties
Magnetic moment, μB per formula unit: 1.4
Symmetry: No. 221



*two*
The following is a PBE calculation of crystalline MgReAu3 at its relaxed geometry, from the Alexandria database.

Cell lengths 4.645, 4.645, 4.645 Å; angles 90.00, 90.00, 90.00 degrees
Fractional coordinates of all 5 atoms:
Mg: 0.000 0.000 0.000
Re: 0.500 0.500 0.500
Au: 0.000 0.000 0.500
Au: 0.000 0.500 0.000
Au: 0.500 0.000 0.000

## Properties
Magnetic moment, μB per formula unit: 0.0
Symmetry: No. 221



So which one is most stable? That would be *one*, about 446 meV/atom below the next structure.



*one*
The following is a PBE calculation of crystalline MgRh2Au2 at its relaxed geometry, from the Alexandria database.

Cell lengths 7.183, 7.183, 3.408 Å; angles 90.00, 90.00, 90.00 degrees
Fractional coordinates of all 10 atoms:
Mg: 0.000 0.000 0.000
Mg: 0.500 0.500 0.000
Rh: 0.146 0.354 0.500
Rh: 0.354 0.854 0.500
Rh: 0.646 0.146 0.500
Rh: 0.854 0.646 0.500
Au: 0.152 0.652 0.000
Au: 0.348 0.152 0.000
Au: 0.652 0.848 0.000
Au: 0.848 0.348 0.000

## Properties
Magnetic moment, μB per formula unit: 0.0
Symmetry: No. 127



*two*
The following is a PBE calculation of crystalline MgRh2Au2 at its relaxed geometry, from the Alexandria database.

Cell lengths 6.924, 6.924, 3.639 Å; angles 90.00, 90.00, 90.00 degrees
Fractional coordinates of all 10 atoms:
Mg: 0.000 0.000 0.000
Mg: 0.500 0.500 0.000
Rh: 0.134 0.366 0.000
Rh: 0.366 0.866 0.000
Rh: 0.634 0.134 0.000
Rh: 0.866 0.634 0.000
Au: 0.165 0.665 0.500
Au: 0.335 0.165 0.500
Au: 0.665 0.835 0.500
Au: 0.835 0.335 0.500

## Properties
Magnetic moment, μB per formula unit: 0.0
Symmetry: No. 127



So which one is most stable? That would be *two*, about 44 meV/atom below the next structure.



*one*
The following is a PBE calculation of crystalline Mg6RhAu at its relaxed geometry, from the Alexandria database.

Cell lengths 8.080, 8.080, 8.080 Å; angles 147.05, 147.05, 47.28 degrees
Fractional coordinates of all 8 atoms:
Mg: 0.104 0.604 0.500
Mg: 0.244 0.244 0.000
Mg: 0.396 0.896 0.500
Mg: 0.604 0.104 0.500
Mg: 0.756 0.756 0.000
Mg: 0.896 0.396 0.500
Rh: 0.000 0.000 0.000
Au: 0.500 0.500 0.000

## Properties
Magnetic moment, μB per formula unit: 0.0
Symmetry: No. 139



*two*
The following is a PBE calculation of crystalline Mg6RhAu at its relaxed geometry, from the Alexandria database.

Cell lengths 5.951, 5.951, 6.191 Å; angles 101.64, 101.64, 118.65 degrees
Fractional coordinates of all 8 atoms:
Mg: 0.044 0.438 0.241
Mg: 0.245 0.245 0.756
Mg: 0.438 0.044 0.241
Mg: 0.562 0.956 0.759
Mg: 0.755 0.755 0.244
Mg: 0.956 0.562 0.759
Rh: 0.000 0.000 0.000
Au: 0.500 0.500 0.500

## Properties
Magnetic moment, μB per formula unit: 0.0
Symmetry: No. 12



So which one is most stable? That would be *one*, about 176 meV/atom below the next structure.